[1]
Density functional theory data (GGA-PBE) for a relaxed RbNaMg6 crystal.

Cell lengths 5.374, 7.016, 12.441 Å; angles 90.00, 90.00, 90.00 degrees
Fractional positions:
Rb: 0.000 0.000 0.000
Rb: 0.000 0.500 0.500
Na: 0.500 0.000 0.156
Na: 0.500 0.500 0.656
Mg: 0.000 0.000 0.450
Mg: 0.000 0.219 0.738
Mg: 0.000 0.281 0.238
Mg: 0.000 0.500 0.950
Mg: 0.000 0.719 0.238
Mg: 0.000 0.781 0.738
Mg: 0.500 0.000 0.622
Mg: 0.500 0.234 0.377
Mg: 0.500 0.266 0.877
Mg: 0.500 0.500 0.122
Mg: 0.500 0.734 0.877
Mg: 0.500 0.766 0.377

Output
calculated formation energy: 0.2262 eV per atom
relative energy among the computed polymorphs: 0.023 eV/atom

[2]
Density functional theory data (GGA-PBE) for a relaxed RbNaMg4 crystal.

Cell lengths 6.484, 6.484, 6.484 Å; angles 60.00, 60.00, 60.00 degrees
Fractional positions:
Rb: 0.000 0.000 0.000
Na: 0.250 0.250 0.250
Mg: 0.131 0.623 0.623
Mg: 0.623 0.131 0.623
Mg: 0.623 0.623 0.131
Mg: 0.623 0.623 0.623

Output
calculated formation energy: 0.1342 eV per atom

no.,electronic total energy (eV/atom)
1,-1.256
2,-1.310